## MnMoW2 (SCAN)

Data for MnMoW2 at its PBEsol-relaxed geometry.

Values from the calculation:
DFT formation energy   1.96 eV per formula unit
Symmetry   R-3m (166)
Crystal system   trigonal
Volume   58 Å³/cell
Raw total energy   -190.6 eV/cell
Relative energy among the computed polymorphs   442 meV per atom

abc: 2.7431 2.7431 9.0970
angles: 81.33 81.33 60.00
Element x y z (fractional)
1 W 0.7567 0.7567 0.7299
2 Mn 0.5000 0.5000 0.5000
3 Mo 0.0000 0.0000 0.0000
4 W 0.2433 0.2433 0.2701

***

## MnMoW2 (SCAN)

Data for MnMoW2 at its PBEsol-relaxed geometry.

Values from the calculation:
DFT formation energy   1.21 eV per formula unit
Symmetry   I-4m2 (119)
Crystal system   tetragonal
Volume   59 Å³/cell
Raw total energy   -191.3 eV/cell
Relative energy among the computed polymorphs   253 meV per atom

abc: 3.7078 3.7078 5.0243
angles: 111.65 111.65 90.00
Last column: magnetic moment on the atom in μB.
Element x y z (fractional)
1 Mn 0.5000 0.5000 0.0000  2.92
2 Mo 0.2500 0.7500 0.5000  -0.06
3 W 0.0000 0.0000 0.0000  -0.20
4 W 0.7500 0.2500 0.5000  -0.07

***

## MnMoW3 (SCAN)

Data for MnMoW3 at its PBEsol-relaxed geometry.

Values from the calculation:
DFT formation energy   7.45 eV per formula unit
Symmetry   Pm-3m (221)
Crystal system   cubic
Volume   84 Å³/cell
Raw total energy   -254.8 eV/cell

abc: 4.3818 4.3818 4.3818
angles: 90.00 90.00 90.00
Element x y z (fractional)
1 W 0.5000 0.0000 0.0000
2 Mn 0.0000 0.0000 0.0000
3 Mo 0.5000 0.5000 0.5000
4 W 0.0000 0.0000 0.5000
5 W 0.0000 0.5000 0.0000

***

## MnMoW2 (SCAN)

Data for MnMoW2 at its PBEsol-relaxed geometry.

Values from the calculation:
DFT formation energy   0.38 eV per formula unit
Symmetry   P4/mmm (123)
Crystal system   tetragonal
Volume   57 Å³/cell
Raw total energy   -192.1 eV/cell
Relative energy among the computed polymorphs   47 meV per atom

abc: 3.0788 3.0788 6.0645
angles: 90.00 90.00 90.00
Last column: magnetic moment on the atom in μB.
Element x y z (fractional)
1 W 0.0000 0.0000 0.7591  -0.37
2 Mn 0.5000 0.5000 0.0000  2.24
3 W 0.0000 0.0000 0.2409  -0.37
4 Mo 0.5000 0.5000 0.5000  0.12

***

## Mn2MoW (SCAN)

Data for Mn2MoW at its PBEsol-relaxed geometry.

Values from the calculation:
DFT formation energy   0.71 eV per formula unit
Symmetry   P4/mmm (123)
Crystal system   tetragonal
Volume   52 Å³/cell
Raw total energy   -140.4 eV/cell

abc: 2.9392 4.1995 4.1995
angles: 90.00 90.00 90.00
Element x y z (fractional)
1 Mn 0.0000 0.0000 0.5000
2 Mn 0.0000 0.5000 0.0000
3 Mo 0.5000 0.5000 0.5000
4 W 0.5000 0.0000 0.0000

***

## MnMoW2 (SCAN)

Data for MnMoW2 at its PBEsol-relaxed geometry.

Values from the calculation:
DFT formation energy   0.19 eV per formula unit
Symmetry   Cmmm (65)
Crystal system   orthorhombic
Volume   58 Å³/cell
Raw total energy   -192.3 eV/cell
Relative energy among the computed polymorphs   0 meV per atom

abc: 2.6823 2.6823 8.4949
angles: 90.00 90.00 108.66
Last column: magnetic moment on the atom in μB.
Element x y z (fractional)
1 Mo 0.5000 0.5000 0.0000  0.06
2 Mn 0.5000 0.5000 0.5000  2.15
3 W 0.0000 0.0000 0.7361  -0.19
4 W 0.0000 0.0000 0.2639  -0.19

***

## Y4MnMo (SCAN)

Data for Y4MnMo at its PBEsol-relaxed geometry.

Values from the calculation:
DFT formation energy   5.52 eV per formula unit
Symmetry   F-43m (216)
Crystal system   cubic
Volume   148 Å³/cell
Raw total energy   -159.0 eV/cell

abc: 5.9393 5.9393 5.9393
angles: 60.00 60.00 60.00
Last column: magnetic moment on the atom in μB.
Element x y z (fractional)
1 Y 0.8773 0.3742 0.3742  -0.14
2 Mn 0.7500 0.7500 0.7500  4.42
3 Y 0.3742 0.3742 0.3742  -0.14
4 Y 0.3742 0.3742 0.8773  -0.14
5 Mo 0.0000 0.0000 0.0000  0.81
6 Y 0.3742 0.8773 0.3742  -0.14

***

## YMnMo (SCAN)

Data for YMnMo at its PBEsol-relaxed geometry.

Values from the calculation:
DFT formation energy   0.91 eV per formula unit
Symmetry   P-6m2 (187)
Crystal system   hexagonal
Volume   59 Å³/cell
Raw total energy   -80.1 eV/cell

abc: 3.8546 3.8546 4.5721
angles: 90.00 90.00 120.00
Last column: magnetic moment on the atom in μB.
Element x y z (fractional)
1 Y 0.3333 0.6667 0.3332  0.00
2 Mo 0.6667 0.3333 0.8332  -0.59
3 Mn 0.0000 0.0000 0.8336  1.86

***

## MnZn2Mo (SCAN)

Data for MnZn2Mo at its PBEsol-relaxed geometry.

Values from the calculation:
DFT formation energy   0.37 eV per formula unit
Symmetry   Cm (8)
Crystal system   monoclinic
Volume   53 Å³/cell
Raw total energy   -79.8 eV/cell
Relative energy among the computed polymorphs   38 meV per atom

abc: 2.5940 4.4995 4.7999
angles: 96.06 90.00 106.75
Last column: magnetic moment on the atom in μB.
Element x y z (fractional)
1 Zn 0.7524 0.5049 0.2371  -0.01
2 Mn 0.4948 0.9896 0.5186  2.88
3 Zn 0.0022 0.0043 0.0181  -0.05
4 Mo 0.2506 0.5012 0.7263  -0.48

***

## MnZn2Mo (SCAN)

Data for MnZn2Mo at its PBEsol-relaxed geometry.

Values from the calculation:
DFT formation energy   0.22 eV per formula unit
Symmetry   P2/m (10)
Crystal system   monoclinic
Volume   53 Å³/cell
Raw total energy   -80.0 eV/cell
Relative energy among the computed polymorphs   0 meV per atom

abc: 2.5900 4.1987 5.0526
angles: 90.00 103.29 90.00
Last column: magnetic moment on the atom in μB.
Element x y z (fractional)
1 Mn 0.5000 0.5000 0.0000  2.96
2 Zn 0.0522 0.0000 0.7585  -0.06
3 Zn 0.9478 0.0000 0.2415  -0.06
4 Mo 0.5000 0.5000 0.5000  -0.65

***

## ZrMn3Mo (SCAN)

Data for ZrMn3Mo at its PBEsol-relaxed geometry.

Values from the calculation:
DFT formation energy   7.44 eV per formula unit
Symmetry   Pm-3m (221)
Crystal system   cubic
Volume   91 Å³/cell
Raw total energy   -112.9 eV/cell

abc: 4.4971 4.4971 4.4971
angles: 90.00 90.00 90.00
Last column: magnetic moment on the atom in μB.
Element x y z (fractional)
1 Mn 0.0000 0.0000 0.5000  3.43
2 Mo 0.5000 0.5000 0.5000  -2.89
3 Zr 0.0000 0.0000 0.0000  -0.70
4 Mn 0.5000 0.0000 0.0000  3.43
5 Mn 0.0000 0.5000 0.0000  3.43

***

## ZrMn4Mo (SCAN)

Data for ZrMn4Mo at its PBEsol-relaxed geometry.

Values from the calculation:
DFT formation energy   -0.06 eV per formula unit
Symmetry   F-43m (216)
Crystal system   cubic
Volume   77 Å³/cell
Raw total energy   -138.7 eV/cell

abc: 4.7723 4.7723 4.7723
angles: 60.00 60.00 60.00
Last column: magnetic moment on the atom in μB.
Element x y z (fractional)
1 Mn 0.3743 0.3743 0.8772  1.56
2 Mo 0.7500 0.7500 0.7500  -0.91
3 Mn 0.8772 0.3743 0.3743  1.56
4 Zr 0.0000 0.0000 0.0000  -0.24
5 Mn 0.3743 0.3743 0.3743  1.56
6 Mn 0.3743 0.8772 0.3743  1.56